A relaxed TeP crystal. Source: Alexandria, functional PBE-GGA.

Structure (CIF):
```
data_TeP
_chemical_formula_sum 'Te2 P2'
_symmetry_space_group_name_H-M 'P 1'
_symmetry_Int_Tables_number 1
_cell_length_a 4.747
_cell_length_b 4.776
_cell_length_c 6.341
_cell_angle_alpha 75.72
_cell_angle_beta 86.83
_cell_angle_gamma 72.34
loop_
_symmetry_equiv_pos_as_xyz
'x,y,z'
loop_
_atom_site_label
_atom_site_type_symbol
_atom_site_fract_x
_atom_site_fract_y
_atom_site_fract_z
Te1 Te 0.000 0.000 0.000
Te2 Te 0.334 0.511 0.564
P1 P 0.485 0.670 0.879
P2 P 0.722 0.986 0.678
```

Output
Calculated volume   132.7 Å³/cell
Calculated total energy   -0.151 hartree per atom
M_tot   0.0 μB per formula unit
Raw formation energy   0.173 eV/atom


A relaxed LiBeTl2Ni crystal. Source: Alexandria, functional PBE-GGA.

Structure (CIF):
```
data_LiBeTl2Ni
_chemical_formula_sum 'Li1 Be1 Tl2 Ni1'
_symmetry_space_group_name_H-M 'P 4/m m m'
_symmetry_Int_Tables_number 123
_symmetry_space_group_name_Hall '-P 4 2'
_cell_length_a 5.014
_cell_length_b 5.014
_cell_length_c 4.235
_cell_angle_alpha 90.00
_cell_angle_beta 90.00
_cell_angle_gamma 90.00
loop_
_atom_site_label
_atom_site_type_symbol
_atom_site_fract_x
_atom_site_fract_y
_atom_site_fract_z
Li1 Li 0.000 0.000 0.000
Be1 Be 0.500 0.500 0.000
Tl1 Tl 0.000 0.500 0.500
Ni1 Ni 0.500 0.500 0.500
```

Output
Calculated volume   106.5 Å³/cell
Calculated total energy   -0.110 hartree per atom
M_tot   0.0 μB per formula unit
ΔE_f   0.25 eV/atom


A relaxed Li2In5Ag3 crystal. Source: Alexandria, functional PBE-GGA.

Structure (CIF):
```
data_Li2In5Ag3
_chemical_formula_sum 'Li8 In20 Ag12'
_symmetry_space_group_name_H-M 'C 1 2/c 1'
_symmetry_Int_Tables_number 15
_cell_length_a 10.956
_cell_length_b 13.458
_cell_length_c 5.891
_cell_angle_alpha 90.00
_cell_angle_beta 91.13
_cell_angle_gamma 90.00
loop_
_symmetry_equiv_pos_as_xyz
'x,y,z'
'-x,-y,-z'
'-x,y,-z+1/2'
'x,-y,z+1/2'
'x+1/2,y+1/2,z'
'-x+1/2,-y+1/2,-z'
'-x+1/2,y+1/2,-z+1/2'
'x+1/2,-y+1/2,z+1/2'
loop_
_atom_site_label
_atom_site_type_symbol
_atom_site_fract_x
_atom_site_fract_y
_atom_site_fract_z
Li1 Li 0.114 0.245 0.097
In1 In 0.000 0.051 0.250
In2 In 0.129 0.343 0.578
In3 In 0.236 0.444 0.004
Ag1 Ag 0.000 0.464 0.250
Ag2 Ag 0.120 0.140 0.634
```

Output
Calculated volume   868.5 Å³/cell
Calculated total energy   -0.100 hartree per atom
M_tot   0.0 μB per formula unit
ΔE_f   -0.10 eV/atom


A relaxed NdSi2Au4 crystal. Source: Alexandria, functional PBE-GGA.

Structure (CIF):
```
data_NdSi2Au4
_chemical_formula_sum 'Nd2 Si4 Au8'
_symmetry_space_group_name_H-M 'C m m m'
_symmetry_Int_Tables_number 65
_symmetry_space_group_name_Hall '-C 2 2'
_cell_length_a 4.404
_cell_length_b 13.723
_cell_length_c 4.428
_cell_angle_alpha 90.00
_cell_angle_beta 90.00
_cell_angle_gamma 90.00
loop_
_atom_site_label
_atom_site_type_symbol
_atom_site_fract_x
_atom_site_fract_y
_atom_site_fract_z
Nd1 Nd 0.000 0.000 0.000
Si1 Si 0.000 0.413 0.500
Au1 Au 0.000 0.174 0.500
Au2 Au 0.000 0.326 0.000
```

Output
Calculated volume   267.6 Å³/cell
Calculated total energy   -0.168 hartree per atom
M_tot   0.0 μB per formula unit
Raw formation energy   -0.474 eV/atom


A relaxed Ce6HC2N3 crystal. Source: Alexandria, functional PBE-GGA.

Structure (CIF):
```
data_Ce6HC2N3
_chemical_formula_sum 'Ce12 H2 C4 N6'
_symmetry_space_group_name_H-M 'C 1 2/m 1'
_symmetry_Int_Tables_number 12
_cell_length_a 15.661
_cell_length_b 3.602
_cell_length_c 7.257
_cell_angle_alpha 90.00
_cell_angle_beta 103.74
_cell_angle_gamma 90.00
loop_
_symmetry_equiv_pos_as_xyz
'x,y,z'
'-x,-y,-z'
'-x,y,-z'
'x,-y,z'
'x+1/2,y+1/2,z'
'-x+1/2,-y+1/2,-z'
'-x+1/2,y+1/2,-z'
'x+1/2,-y+1/2,z'
loop_
_atom_site_label
_atom_site_type_symbol
_atom_site_fract_x
_atom_site_fract_y
_atom_site_fract_z
Ce1 Ce 0.002 0.000 0.237
Ce2 Ce 0.167 0.500 0.086
Ce3 Ce 0.168 0.500 0.580
H1 H 0.000 0.500 0.500
C1 C 0.161 0.000 0.826
N1 N 0.000 0.500 0.000
N2 N 0.172 0.000 0.338
```

Output
Calculated volume   397.7 Å³/cell
Calculated total energy   -0.284 hartree per atom
M_tot   1.7 μB per formula unit


A relaxed PmReSi3Ni crystal. Source: Alexandria, functional PBE-GGA.

Structure (CIF):
```
data_PmReSi3Ni
_chemical_formula_sum 'Pm4 Re4 Si12 Ni4'
_symmetry_space_group_name_H-M 'C m c m'
_symmetry_Int_Tables_number 63
_symmetry_space_group_name_Hall '-C 2c 2'
_cell_length_a 6.207
_cell_length_b 12.846
_cell_length_c 5.613
_cell_angle_alpha 90.00
_cell_angle_beta 90.00
_cell_angle_gamma 90.00
loop_
_atom_site_label
_atom_site_type_symbol
_atom_site_fract_x
_atom_site_fract_y
_atom_site_fract_z
Pm1 Pm 0.000 0.226 0.250
Re1 Re 0.000 0.453 0.750
Si1 Si 0.000 0.276 0.750
Si2 Si 0.194 0.000 0.000
Ni1 Ni 0.000 0.110 0.750
```

Output
Calculated volume   447.5 Å³/cell
Calculated total energy   -0.252 hartree per atom
M_tot   0.0 μB per formula unit
Raw formation energy   -0.305 eV/atom


A relaxed LaReOs3 crystal. Source: Alexandria, functional PBE-GGA.

Structure (CIF):
```
data_LaReOs3
_chemical_formula_sum 'La1 Re1 Os3'
_symmetry_space_group_name_H-M 'P m -3 m'
_symmetry_Int_Tables_number 221
_symmetry_space_group_name_Hall '-P 4 2 3'
_cell_length_a 4.780
_cell_length_b 4.780
_cell_length_c 4.780
_cell_angle_alpha 90.00
_cell_angle_beta 90.00
_cell_angle_gamma 90.00
loop_
_atom_site_label
_atom_site_type_symbol
_atom_site_fract_x
_atom_site_fract_y
_atom_site_fract_z
La1 La 0.000 0.000 0.000
Re1 Re 0.500 0.500 0.500
Os1 Os 0.000 0.500 0.500
```

Output
Calculated volume   109.2 Å³/cell
Calculated total energy   -0.334 hartree per atom
Energy relative to the lowest polymorph listed for this composition   0.0000 eV per atom
M_tot   0.0 μB per formula unit
ΔE_f   1.12 eV/atom


A relaxed SrReMoI2 crystal. Source: Alexandria, functional PBE-GGA.

Structure (CIF):
```
data_SrReMoI2
_chemical_formula_sum 'Sr1 Re1 Mo1 I2'
_symmetry_space_group_name_H-M 'P 4/m m m'
_symmetry_Int_Tables_number 123
_symmetry_space_group_name_Hall '-P 4 2'
_cell_length_a 5.618
_cell_length_b 5.618
_cell_length_c 4.853
_cell_angle_alpha 90.00
_cell_angle_beta 90.00
_cell_angle_gamma 90.00
loop_
_atom_site_label
_atom_site_type_symbol
_atom_site_fract_x
_atom_site_fract_y
_atom_site_fract_z
Sr1 Sr 0.000 0.000 0.000
Re1 Re 0.500 0.500 0.500
Mo1 Mo 0.500 0.500 0.000
I1 I 0.000 0.500 0.500
```

Output
Calculated volume   153.2 Å³/cell
Calculated total energy   -0.178 hartree per atom
M_tot   2.8 μB per formula unit
Raw formation energy   0.773 eV/atom


> Look up the M_tot of the fifth one.

1.7 μB per formula unit